This record from Alexandria via LeMat-Bulk describes a relaxed TlAgGeHSe crystal. The functional is PBE.

a b c (Å): 3.7344 5.7876 5.8752
angles (deg): 61.91 80.50 89.22
Space group P1 (No. 1)
Asymmetric unit:
Tl (0.0000, 0.0000, 0.0000) (multiplicity 1)
Ag (0.2198, 0.4395, 0.1375) (multiplicity 1)
Ge (0.6366, 0.2813, 0.5013) (multiplicity 1)
H (0.8681, 0.6476, 0.7203) (multiplicity 1)
Se (0.5317, 0.6760, 0.6037) (multiplicity 1)

Properties
**Offset from the most stable computed form**: 0.58 eV per formula unit